(1)
CaMn2Cr after structural relaxation. Source: the Alexandria database, functional PBE.

a = 4.7519 Å, b = 4.7519 Å, c = 5.4855 Å
α = 103.17°, β = 103.17°, γ = 39.35°
Element x y z (fractional)
Ca 0.0000 0.0000 0.0000
Mn 0.5100 0.5100 0.5168
Mn 0.7764 0.7764 0.3305
Cr 0.2200 0.2200 0.6080

Calculated values
- space-group type = Cm, No. 8
- DFT total energy (eV per cell) = -27.79
- crystal system = monoclinic
- magnetic moment (μB/atom) = 0.83
- distance to the lowest polymorph of the same formula (meV per atom) = 165


(2)
CaMn2Cr after structural relaxation. Source: the Alexandria database, functional PBE.

a = 4.6385 Å, b = 4.6385 Å, c = 3.2890 Å
α = 90.48°, β = 90.48°, γ = 91.26°
Element x y z (fractional)
Ca 0.0000 0.0000 0.0000
Mn 0.0000 0.5000 0.5000
Mn 0.5000 0.0000 0.5000
Cr 0.5000 0.5000 0.0000

Calculated values
- space-group type = C2/m, No. 12
- DFT total energy (eV per cell) = -27.48
- crystal system = monoclinic
- magnetic moment (μB/atom) = 0.84
- distance to the lowest polymorph of the same formula (meV per atom) = 241


(3)
CaMn2Cr after structural relaxation. Source: the Alexandria database, functional PBE.

a = 8.2858 Å, b = 8.2858 Å, c = 8.2858 Å
α = 148.75°, β = 148.75°, γ = 44.78°
Element x y z (fractional)
Ca 0.3750 0.6250 0.7500
Ca 0.6250 0.3750 0.2500
Mn 0.0000 0.0000 0.0000
Mn 0.0000 0.0000 0.5000
Mn 0.0000 0.5000 0.0000
Mn 0.5000 0.0000 0.5000
Cr 0.1250 0.8750 0.2500
Cr 0.8750 0.1250 0.7500

Calculated values
- space-group type = I4_1/amd, No. 141
- DFT total energy (eV per cell) = -51.94
- crystal system = tetragonal
- magnetic moment (μB/atom) = 0.00
- distance to the lowest polymorph of the same formula (meV per atom) = 618


(4)
SrCaMnCr2 after structural relaxation. Source: the Alexandria database, functional PBE.

a = 4.4236 Å, b = 4.4236 Å, c = 5.4369 Å
α = 90.00°, β = 90.00°, γ = 90.00°
Element x y z (fractional)
Sr 0.0000 0.0000 0.0000
Ca 0.5000 0.5000 0.0000
Mn 0.0000 0.0000 0.5000
Cr 0.0000 0.5000 0.5000
Cr 0.5000 0.0000 0.5000

Calculated values
- space-group type = P4/mmm, No. 123
- DFT total energy (eV per cell) = -26.47
- crystal system = tetragonal
- magnetic moment (μB/atom) = 0.00


(5)
Ca3CrMo after structural relaxation. Source: the Alexandria database, functional PBE.

a = 5.4657 Å, b = 5.4657 Å, c = 5.4657 Å
α = 90.00°, β = 90.00°, γ = 90.00°
Element x y z (fractional)
Ca 0.0000 0.0000 0.5000
Ca 0.0000 0.5000 0.0000
Ca 0.5000 0.0000 0.0000
Cr 0.5000 0.5000 0.5000
Mo 0.0000 0.0000 0.0000

Calculated values
- space-group type = Pm-3m, No. 221
- DFT total energy (eV per cell) = -20.62
- crystal system = cubic
- magnetic moment (μB/atom) = 1.14
- distance to the lowest polymorph of the same formula (meV per atom) = 0


(6)
Ca2CrMo after structural relaxation. Source: the Alexandria database, functional PBE.

a = 3.0513 Å, b = 4.9519 Å, c = 6.0236 Å
α = 90.00°, β = 95.86°, γ = 90.00°
Element x y z (fractional)
Ca 0.0111 0.0000 0.2449
Ca 0.9889 0.0000 0.7551
Cr 0.5000 0.5000 0.5000
Mo 0.5000 0.5000 0.0000

Calculated values
- space-group type = P2/m, No. 10
- DFT total energy (eV per cell) = -20.69
- crystal system = monoclinic
- magnetic moment (μB/atom) = 0.72
- distance to the lowest polymorph of the same formula (meV per atom) = 512


(7)
Ca2CrMo after structural relaxation. Source: the Alexandria database, functional PBE.

a = 10.6780 Å, b = 10.6780 Å, c = 10.6780 Å
α = 17.25°, β = 17.25°, γ = 17.25°
Element x y z (fractional)
Ca 0.2458 0.2458 0.2458
Ca 0.7542 0.7542 0.7542
Cr 0.0000 0.0000 0.0000
Mo 0.5000 0.5000 0.5000

Calculated values
- space-group type = R-3m, No. 166
- DFT total energy (eV per cell) = -20.40
- crystal system = trigonal
- magnetic moment (μB/atom) = 1.11
- distance to the lowest polymorph of the same formula (meV per atom) = 585


(8)
Ca2CrMo after structural relaxation. Source: the Alexandria database, functional PBE.

a = 4.3337 Å, b = 4.3337 Å, c = 4.8894 Å
α = 90.00°, β = 90.00°, γ = 90.00°
Element x y z (fractional)
Ca 0.0000 0.5000 0.0000
Ca 0.5000 0.0000 0.0000
Cr 0.0000 0.0000 0.5000
Mo 0.5000 0.5000 0.5000

Calculated values
- space-group type = P4/mmm, No. 123
- DFT total energy (eV per cell) = -20.83
- crystal system = tetragonal
- magnetic moment (μB/atom) = 0.49
- distance to the lowest polymorph of the same formula (meV per atom) = 477


(9)
Ca3CrMo after structural relaxation. Source: the Alexandria database, functional PBE.

a = 5.2093 Å, b = 5.2093 Å, c = 5.2093 Å
α = 90.00°, β = 90.00°, γ = 90.00°
Element x y z (fractional)
Ca 0.0000 0.0000 0.5000
Ca 0.0000 0.5000 0.0000
Ca 0.5000 0.0000 0.0000
Cr 0.0000 0.0000 0.0000
Mo 0.5000 0.5000 0.5000

Calculated values
- space-group type = Pm-3m, No. 221
- DFT total energy (eV per cell) = -17.64
- crystal system = cubic
- magnetic moment (μB/atom) = 0.01
- distance to the lowest polymorph of the same formula (meV per atom) = 595


(10)
CaCrMo3 after structural relaxation. Source: the Alexandria database, functional PBE.

a = 4.5243 Å, b = 4.5243 Å, c = 4.5243 Å
α = 90.00°, β = 90.00°, γ = 90.00°
Element x y z (fractional)
Ca 0.0000 0.0000 0.0000
Cr 0.5000 0.5000 0.5000
Mo 0.0000 0.0000 0.5000
Mo 0.0000 0.5000 0.0000
Mo 0.5000 0.0000 0.0000

Calculated values
- space-group type = Pm-3m, No. 221
- DFT total energy (eV per cell) = -29.34
- crystal system = cubic
- magnetic moment (μB/atom) = 0.00
- distance to the lowest polymorph of the same formula (meV per atom) = 1926


(11)
Ca2CrMo after structural relaxation. Source: the Alexandria database, functional PBE.

a = 5.9905 Å, b = 5.9905 Å, c = 5.9905 Å
α = 146.75°, β = 125.91°, γ = 64.99°
Element x y z (fractional)
Ca 0.0000 0.0000 0.0000
Ca 0.7021 0.2021 0.5000
Cr 0.2687 0.7687 0.5000
Mo 0.4173 0.4173 0.0000

Calculated values
- space-group type = Imm2, No. 44
- DFT total energy (eV per cell) = -22.22
- crystal system = orthorhombic
- magnetic moment (μB/atom) = 0.18
- distance to the lowest polymorph of the same formula (meV per atom) = 129


(12)
Ca2CrMo after structural relaxation. Source: the Alexandria database, functional PBE.

a = 5.0405 Å, b = 5.0405 Å, c = 3.9344 Å
α = 90.00°, β = 90.00°, γ = 90.00°
Element x y z (fractional)
Ca 0.0000 0.5000 0.0000
Ca 0.5000 0.0000 0.0000
Cr 0.0000 0.0000 0.5000
Mo 0.5000 0.5000 0.5000

Calculated values
- space-group type = P4/mmm, No. 123
- DFT total energy (eV per cell) = -20.74
- crystal system = tetragonal
- magnetic moment (μB/atom) = 0.43
- distance to the lowest polymorph of the same formula (meV per atom) = 501


(13)
Ca2CrMo after structural relaxation. Source: the Alexandria database, functional PBE.

a = 4.3072 Å, b = 4.3072 Å, c = 8.0694 Å
α = 94.61°, β = 94.61°, γ = 44.42°
Element x y z (fractional)
Ca 0.0000 0.0000 0.0000
Ca 0.2161 0.2161 0.6005
Cr 0.4734 0.4734 0.3456
Mo 0.7517 0.7517 0.2552

Calculated values
- space-group type = Cm, No. 8
- DFT total energy (eV per cell) = -22.10
- crystal system = monoclinic
- magnetic moment (μB/atom) = 0.36
- distance to the lowest polymorph of the same formula (meV per atom) = 161


(14)
Ca2CrMo after structural relaxation. Source: the Alexandria database, functional PBE.

a = 5.0467 Å, b = 5.0467 Å, c = 5.0467 Å
α = 60.00°, β = 60.00°, γ = 60.00°
Element x y z (fractional)
Ca 0.2500 0.2500 0.2500
Ca 0.7500 0.7500 0.7500
Cr 0.0000 0.0000 0.0000
Mo 0.5000 0.5000 0.5000

Calculated values
- space-group type = Fm-3m, No. 225
- DFT total energy (eV per cell) = -18.76
- crystal system = cubic
- magnetic moment (μB/atom) = 0.65
- distance to the lowest polymorph of the same formula (meV per atom) = 994


(15)
Ca2CrMo after structural relaxation. Source: the Alexandria database, functional PBE.

a = 3.8090 Å, b = 3.8090 Å, c = 6.9651 Å
α = 90.00°, β = 90.00°, γ = 90.00°
Element x y z (fractional)
Ca 0.0000 0.0000 0.2420
Ca 0.0000 0.0000 0.7580
Cr 0.5000 0.5000 0.5000
Mo 0.5000 0.5000 0.0000

Calculated values
- space-group type = P4/mmm, No. 123
- DFT total energy (eV per cell) = -20.60
- crystal system = tetragonal
- magnetic moment (μB/atom) = 0.50
- distance to the lowest polymorph of the same formula (meV per atom) = 535


(16)
Ca2CrMo after structural relaxation. Source: the Alexandria database, functional PBE.

a = 5.8216 Å, b = 5.8216 Å, c = 5.8216 Å
α = 139.76°, β = 133.01°, γ = 63.54°
Element x y z (fractional)
Ca 0.2450 0.2450 0.0000
Ca 0.7550 0.7550 0.0000
Cr 0.0000 0.5000 0.5000
Mo 0.5000 0.0000 0.5000

Calculated values
- space-group type = Immm, No. 71
- DFT total energy (eV per cell) = -20.87
- crystal system = orthorhombic
- magnetic moment (μB/atom) = 0.48
- distance to the lowest polymorph of the same formula (meV per atom) = 467


(17)
Ca4CrMo after structural relaxation. Source: the Alexandria database, functional PBE.

a = 6.4731 Å, b = 6.4731 Å, c = 6.4731 Å
α = 60.00°, β = 60.00°, γ = 60.00°
Element x y z (fractional)
Ca 0.1251 0.1251 0.1251
Ca 0.1251 0.1251 0.6246
Ca 0.1251 0.6246 0.1251
Ca 0.6246 0.1251 0.1251
Cr 0.7500 0.7500 0.7500
Mo 0.5000 0.5000 0.5000

Calculated values
- space-group type = F-43m, No. 216
- DFT total energy (eV per cell) = -21.29
- crystal system = cubic
- magnetic moment (μB/atom) = 1.54


(18)
Ca2CrMo after structural relaxation. Source: the Alexandria database, functional PBE.

a = 5.4203 Å, b = 5.4203 Å, c = 5.8080 Å
α = 95.92°, β = 95.92°, γ = 32.59°
Element x y z (fractional)
Ca 0.2471 0.2471 0.2418
Ca 0.7529 0.7529 0.7582
Cr 0.0000 0.0000 0.5000
Mo 0.5000 0.5000 0.0000

Calculated values
- space-group type = C2/m, No. 12
- DFT total energy (eV per cell) = -20.54
- crystal system = monoclinic
- magnetic moment (μB/atom) = 0.72
- distance to the lowest polymorph of the same formula (meV per atom) = 550


(19)
CaCr4Mo after structural relaxation. Source: the Alexandria database, functional PBE.

a = 4.9780 Å, b = 4.9780 Å, c = 4.9780 Å
α = 60.00°, β = 60.00°, γ = 60.00°
Element x y z (fractional)
Ca 0.0000 0.0000 0.0000
Cr 0.1255 0.6248 0.6248
Cr 0.6248 0.1255 0.6248
Cr 0.6248 0.6248 0.1255
Cr 0.6248 0.6248 0.6248
Mo 0.2500 0.2500 0.2500

Calculated values
- space-group type = F-43m, No. 216
- DFT total energy (eV per cell) = -48.57
- crystal system = cubic
- magnetic moment (μB/atom) = 0.00


(20)
CaCr3Mo after structural relaxation. Source: the Alexandria database, functional PBE.

a = 4.7550 Å, b = 4.7550 Å, c = 4.7550 Å
α = 90.00°, β = 90.00°, γ = 90.00°
Element x y z (fractional)
Ca 0.0000 0.0000 0.0000
Cr 0.0000 0.5000 0.5000
Cr 0.5000 0.0000 0.5000
Cr 0.5000 0.5000 0.0000
Mo 0.5000 0.5000 0.5000

Calculated values
- space-group type = Pm-3m, No. 221
- DFT total energy (eV per cell) = -36.69
- crystal system = cubic
- magnetic moment (μB/atom) = 1.61
- distance to the lowest polymorph of the same formula (meV per atom) = 0


(21)
CaCrMo3 after structural relaxation. Source: the Alexandria database, functional PBE.

a = 4.6216 Å, b = 4.6216 Å, c = 4.6216 Å
α = 90.00°, β = 90.00°, γ = 90.00°
Element x y z (fractional)
Ca 0.0000 0.0000 0.0000
Cr 0.5000 0.5000 0.5000
Mo 0.0000 0.5000 0.5000
Mo 0.5000 0.0000 0.5000
Mo 0.5000 0.5000 0.0000

Calculated values
- space-group type = Pm-3m, No. 221
- DFT total energy (eV per cell) = -38.97
- crystal system = cubic
- magnetic moment (μB/atom) = 0.00
- distance to the lowest polymorph of the same formula (meV per atom) = 0


(22)
Ca2CrMo after structural relaxation. Source: the Alexandria database, functional PBE.

a = 3.3264 Å, b = 3.3304 Å, c = 8.8463 Å
α = 90.00°, β = 90.17°, γ = 90.00°
Element x y z (fractional)
Ca 0.0000 0.0000 0.0000
Ca 0.4968 0.5000 0.3829
Cr 0.4996 0.5000 0.7415
Mo 0.9986 0.0000 0.6444

Calculated values
- space-group type = Pm, No. 6
- DFT total energy (eV per cell) = -22.74
- crystal system = monoclinic
- magnetic moment (μB/atom) = 0.24
- distance to the lowest polymorph of the same formula (meV per atom) = 0


(23)
Ca2CrMo after structural relaxation. Source: the Alexandria database, functional PBE.

a = 6.3271 Å, b = 6.3271 Å, c = 6.3271 Å
α = 100.40°, β = 100.40°, γ = 129.72°
Element x y z (fractional)
Ca 0.1052 0.6250 0.9802
Ca 0.3750 0.3552 0.4802
Ca 0.6448 0.1250 0.0198
Ca 0.8750 0.8948 0.5198
Cr 0.0000 0.0000 0.0000
Cr 0.7500 0.2500 0.5000
Mo 0.2500 0.7500 0.5000
Mo 0.5000 0.5000 0.0000

Calculated values
- space-group type = I-42d, No. 122
- DFT total energy (eV per cell) = -36.81
- crystal system = tetragonal
- magnetic moment (μB/atom) = 0.00
- distance to the lowest polymorph of the same formula (meV per atom) = 1085


(24)
Ca2CrMo after structural relaxation. Source: the Alexandria database, functional PBE.

a = 5.7463 Å, b = 5.7463 Å, c = 3.0821 Å
α = 90.80°, β = 90.80°, γ = 116.84°
Element x y z (fractional)
Ca 0.0000 0.5000 0.0000
Ca 0.5000 0.0000 0.0000
Cr 0.0000 0.0000 0.5000
Mo 0.5000 0.5000 0.5000

Calculated values
- space-group type = C2/m, No. 12
- DFT total energy (eV per cell) = -20.67
- crystal system = monoclinic
- magnetic moment (μB/atom) = 0.71
- distance to the lowest polymorph of the same formula (meV per atom) = 518


(25)
Ca2CrMoN5 after structural relaxation. Source: the Alexandria database, functional PBE.

a = 7.2464 Å, b = 7.2464 Å, c = 10.2621 Å
α = 90.00°, β = 90.00°, γ = 154.82°
Element x y z (fractional)
Ca 0.1123 0.8877 0.5000
Ca 0.1344 0.8656 0.1419
Ca 0.8656 0.1344 0.6419
Ca 0.8877 0.1123 0.0000
Cr 0.4459 0.5541 0.2554
Cr 0.5541 0.4459 0.7554
Mo 0.2146 0.7854 0.8544
Mo 0.7854 0.2146 0.3544
N 0.0390 0.9610 0.8405
N 0.2949 0.7051 0.4784
N 0.3221 0.6779 0.2124
N 0.3405 0.6595 0.8270
N 0.4992 0.5008 0.6116
N 0.5008 0.4992 0.1116
N 0.6595 0.3405 0.3270
N 0.6779 0.3221 0.7124
N 0.7051 0.2949 0.9784
N 0.9610 0.0390 0.3405

Calculated values
- space-group type = Cmc2_1, No. 36
- DFT total energy (eV per cell) = -144.26
- crystal system = orthorhombic
- magnetic moment (μB/atom) = 0.08
- uncorrected formation energy (eV per atom) = -0.6716